# 1
! PBE-GGA Ga2Au, optimized geometry; values from VASP
! Theoretical density ... 9.98 g cm⁻³
! Formation enthalpy at 0 K ... -0.143 eV per atom
! Magnetic moment ... 0.0 μB/cell
! Symmetry ... Pnma
! Total energy ... -3.2529 eV per atom
&SYSTEM
  ibrav = 0, nat = 12, ntyp = 2
/
ATOMIC_SPECIES
Ga 69.72 Ga.upf
Au 196.97 Au.upf
CELL_PARAMETERS angstrom
7.0401 0.0000 0.0000
0.0000 3.7678 0.0000
0.0000 0.0000 8.4433
ATOMIC_POSITIONS crystal
Ga 0.0456 0.2500 0.1411
Ga 0.1392 0.2500 0.5487
Ga 0.3608 0.7500 0.0487
Ga 0.4544 0.7500 0.6411
Ga 0.5456 0.2500 0.3589
Ga 0.6392 0.2500 0.9513
Ga 0.8608 0.7500 0.4513
Ga 0.9544 0.7500 0.8589
Au 0.2322 0.7500 0.3375
Au 0.2678 0.2500 0.8375
Au 0.7322 0.7500 0.1625
Au 0.7678 0.2500 0.6625

# 2
! PBE-GGA Ga2Au7, optimized geometry; values from VASP
! Theoretical density ... 15.83 g cm⁻³
! Formation enthalpy at 0 K ... -0.098 eV per atom
! Magnetic moment ... 0.0 μB/cell
! Symmetry ... P-62m
! Total energy ... -3.3197 eV per atom
&SYSTEM
  ibrav = 0, nat = 27, ntyp = 2
/
ATOMIC_SPECIES
Ga 69.72 Ga.upf
Au 196.97 Au.upf
CELL_PARAMETERS angstrom
7.8418 0.0000 0.0000
-3.9209 6.7912 0.0000
0.0000 0.0000 8.9723
ATOMIC_POSITIONS crystal
Ga 0.0000 0.0000 0.1906
Ga 0.0000 0.0000 0.8094
Ga 0.3333 0.6667 0.3184
Ga 0.3333 0.6667 0.6816
Ga 0.6667 0.3333 0.3184
Ga 0.6667 0.3333 0.6816
Au 0.0000 0.0000 0.5000
Au 0.0000 0.3590 0.1685
Au 0.0000 0.3590 0.8315
Au 0.0000 0.3675 0.5000
Au 0.0000 0.6842 0.3324
Au 0.0000 0.6842 0.6676
Au 0.0000 0.7233 0.0000
Au 0.2767 0.2767 0.0000
Au 0.3158 0.3158 0.3324
Au 0.3158 0.3158 0.6676
Au 0.3333 0.6667 0.0000
Au 0.3590 0.0000 0.1685
Au 0.3590 0.0000 0.8315
Au 0.3675 0.0000 0.5000
Au 0.6325 0.6325 0.5000
Au 0.6410 0.6410 0.1685
Au 0.6410 0.6410 0.8315
Au 0.6667 0.3333 0.0000
Au 0.6842 0.0000 0.3324
Au 0.6842 0.0000 0.6676
Au 0.7233 0.0000 0.0000

# 3
! PBE-GGA Ga4Au, optimized geometry; values from VASP
! Theoretical density ... 6.31 g cm⁻³
! E above lowest polymorph ... 0.271 eV/atom
! Formation enthalpy at 0 K ... 0.232 eV per atom
! Magnetic moment ... 0.0 μB/cell
! Symmetry ... Pm-3m
! Total energy ... -2.8454 eV per atom
&SYSTEM
  ibrav = 0, nat = 5, ntyp = 2
/
ATOMIC_SPECIES
Ga 69.72 Ga.upf
Au 196.97 Au.upf
CELL_PARAMETERS angstrom
5.0043 0.0000 0.0000
0.0000 5.0043 0.0000
0.0000 0.0000 5.0043
ATOMIC_POSITIONS crystal
Ga 0.0000 0.0000 0.0000
Ga 0.0000 0.5000 0.5000
Ga 0.5000 0.0000 0.5000
Ga 0.5000 0.5000 0.0000
Au 0.5000 0.5000 0.5000

# 4
! PBE-GGA GaAu3, optimized geometry; values from VASP
! Theoretical density ... 15.33 g cm⁻³
! Formation enthalpy at 0 K ... -0.090 eV per atom
! Magnetic moment ... 0.0 μB/cell
! Symmetry ... Imm2
! Total energy ... -3.3044 eV per atom
&SYSTEM
  ibrav = 0, nat = 8, ntyp = 2
/
ATOMIC_SPECIES
Ga 69.72 Ga.upf
Au 196.97 Au.upf
CELL_PARAMETERS angstrom
2.9610 0.0000 0.0000
0.0000 9.1085 0.0000
0.0000 0.0000 5.3053
ATOMIC_POSITIONS crystal
Ga 0.0000 0.0000 0.0000
Ga 0.5000 0.5000 0.5000
Au 0.0000 0.2734 0.3324
Au 0.0000 0.5000 0.9423
Au 0.0000 0.7266 0.3324
Au 0.5000 0.0000 0.4423
Au 0.5000 0.2266 0.8324
Au 0.5000 0.7734 0.8324

# 5
! PBE-GGA Ga4Au3, optimized geometry; values from VASP
! Theoretical density ... 11.02 g cm⁻³
! Formation enthalpy at 0 K ... -0.123 eV per atom
! Magnetic moment ... 0.0 μB/cell
! Symmetry ... I-43d
! Total energy ... -3.2576 eV per atom
&SYSTEM
  ibrav = 0, nat = 14, ntyp = 2
/
ATOMIC_SPECIES
Ga 69.72 Ga.upf
Au 196.97 Au.upf
CELL_PARAMETERS angstrom
-4.0313 4.0313 4.0313
4.0313 -4.0313 4.0313
4.0313 4.0313 -4.0313
ATOMIC_POSITIONS crystal
Ga 0.0000 0.3395 0.5000
Ga 0.0000 0.8395 0.5000
Ga 0.1605 0.1605 0.1605
Ga 0.3395 0.5000 0.0000
Ga 0.5000 0.0000 0.3395
Ga 0.5000 0.0000 0.8395
Ga 0.6605 0.6605 0.6605
Ga 0.8395 0.5000 0.0000
Au 0.1250 0.7500 0.8750
Au 0.2500 0.6250 0.3750
Au 0.3750 0.2500 0.6250
Au 0.6250 0.3750 0.2500
Au 0.7500 0.8750 0.1250
Au 0.8750 0.1250 0.7500

# 6
! PBE-GGA Ga2Au, optimized geometry; values from VASP
! Theoretical density ... 9.82 g cm⁻³
! Formation enthalpy at 0 K ... 0.138 eV per atom
! Magnetic moment ... 0.0 μB/cell
! Symmetry ... Fd-3m
! Total energy ... -2.9723 eV per atom
&SYSTEM
  ibrav = 0, nat = 6, ntyp = 2
/
ATOMIC_SPECIES
Ga 69.72 Ga.upf
Au 196.97 Au.upf
CELL_PARAMETERS angstrom
0.0000 3.8456 3.8456
3.8456 0.0000 3.8456
3.8456 3.8456 0.0000
ATOMIC_POSITIONS crystal
Ga 0.0000 0.0000 0.0000
Ga 0.0000 0.0000 0.5000
Ga 0.0000 0.5000 0.0000
Ga 0.5000 0.0000 0.0000
Au 0.3750 0.3750 0.3750
Au 0.6250 0.6250 0.6250